Density functional theory data (GGA+U) for a relaxed CsMnPbO4 crystal.

Values from the calculation:
- Theoretical density: 3843 kg/m³
- Electronic total energy: -158.46 eV/cell

a b c (Å): 9.2576 9.2576 9.2576
angles (deg): 90.00 90.00 90.00
Last column: nearest neighbours and their distance in Å.
Space group F-43m (No. 216)
Symmetry-distinct sites (fractional):
Cs: 0.0000 0.0000 0.0000  12 O 3.90, 4 Pb 4.01
Mn: 0.0000 0.0000 0.5000  4 O 1.72
Pb: 0.2500 0.2500 0.7500  4 O 2.28
O: 0.1076 0.1076 0.6076  1 Mn 1.72